HoCrNi4 (PBE, optimized geometry); ΔH_f (0 K) = -109.2 kJ/mol of formula units; symmetry = F-43m, No. 216; uncorrected energy = -6.4097 eV per atom
1.0
-3.776 -2.853 1.247
0.619 -4.838 0.409
-0.115 -2.118 4.411
Ni Ho Cr
4 1 1
Direct
0.626 0.626 0.122
0.626 0.122 0.626
0.626 0.626 0.626
0.122 0.626 0.626
0.250 0.250 0.250
0.000 0.000 0.000